1.
Here is an optimized crystal structure of HoTm2Pu from Alexandria. Energies are from PBE-GGA.

Properties
SG: No. 160

```
data_HoTm2Pu
_cell_length_a 3.4971
_cell_length_b 3.4971
_cell_length_c 11.3998
_cell_angle_alpha 81.18
_cell_angle_beta 81.18
_cell_angle_gamma 60.00
_symmetry_space_group_name_H-M 'P 1'
_symmetry_Int_Tables_number 1
_symmetry_space_group_name_Hall 'P 1'
loop_
_atom_site_label
_atom_site_type_symbol
_atom_site_fract_x
_atom_site_fract_y
_atom_site_fract_z
Ho1 Ho 0.5005 0.5005 0.4985
Tm1 Tm 0.0826 0.0826 0.7523
Tm2 Tm 0.2508 0.2508 0.2476
Pu1 Pu 0.6661 0.6661 0.0016
```

***

2.
Here is an optimized crystal structure of Ho14TmPu from Alexandria. Energies are from PBE-GGA.

Properties
SG: No. 38

```
data_Ho14TmPu
_cell_length_a 7.1653
_cell_length_b 7.1653
_cell_length_c 11.1642
_cell_angle_alpha 90.00
_cell_angle_beta 90.00
_cell_angle_gamma 119.97
_symmetry_space_group_name_H-M 'P 1'
_symmetry_Int_Tables_number 1
_symmetry_space_group_name_Hall 'P 1'
loop_
_atom_site_label
_atom_site_type_symbol
_atom_site_fract_x
_atom_site_fract_y
_atom_site_fract_z
Ho1 Ho 0.3335 0.6665 0.5000
Ho2 Ho 0.8334 0.1666 0.5000
Ho3 Ho 0.8326 0.6660 0.0000
Ho4 Ho 0.8338 0.6667 0.5000
Ho5 Ho 0.3340 0.1674 0.0000
Ho6 Ho 0.3333 0.1662 0.5000
Ho7 Ho 0.6682 0.8367 0.7525
Ho8 Ho 0.6682 0.8367 0.2475
Ho9 Ho 0.1633 0.3318 0.7525
Ho10 Ho 0.1633 0.3318 0.2475
Ho11 Ho 0.1668 0.8332 0.7489
Ho12 Ho 0.1668 0.8332 0.2511
Ho13 Ho 0.6681 0.3319 0.7519
Ho14 Ho 0.6681 0.3319 0.2481
Tm1 Tm 0.3337 0.6663 0.0000
Pu1 Pu 0.8330 0.1670 0.0000
```

***

3.
Here is an optimized crystal structure of Y3Ho6Tm2Pu from Alexandria. Energies are from PBE-GGA.

Properties
SG: No. 12

```
data_Y3Ho6Tm2Pu
_cell_length_a 6.0956
_cell_length_b 6.0956
_cell_length_c 11.6346
_cell_angle_alpha 95.02
_cell_angle_beta 95.02
_cell_angle_gamma 119.99
_symmetry_space_group_name_H-M 'P 1'
_symmetry_Int_Tables_number 1
_symmetry_space_group_name_Hall 'P 1'
loop_
_atom_site_label
_atom_site_type_symbol
_atom_site_fract_x
_atom_site_fract_y
_atom_site_fract_z
Y1 Y 0.1673 0.8327 0.5000
Y2 Y 0.8327 0.1673 0.5000
Y3 Y 0.5000 0.5000 0.5000
Ho1 Ho 0.9178 0.5880 0.7537
Ho2 Ho 0.7522 0.7522 0.2463
Ho3 Ho 0.0822 0.4120 0.2463
Ho4 Ho 0.5880 0.9178 0.7537
Ho5 Ho 0.2478 0.2478 0.7537
Ho6 Ho 0.4120 0.0822 0.2463
Tm1 Tm 0.3334 0.6666 0.0000
Tm2 Tm 0.6666 0.3334 0.0000
Pu1 Pu 0.0000 0.0000 0.0000
```

***

4.
Here is an optimized crystal structure of Y6Ho2Tm3Pu from Alexandria. Energies are from PBE-GGA.

Properties
SG: No. 12

```
data_Y6Ho2Tm3Pu
_cell_length_a 6.1184
_cell_length_b 6.1184
_cell_length_c 11.6657
_cell_angle_alpha 95.02
_cell_angle_beta 95.02
_cell_angle_gamma 120.00
_symmetry_space_group_name_H-M 'P 1'
_symmetry_Int_Tables_number 1
_symmetry_space_group_name_Hall 'P 1'
loop_
_atom_site_label
_atom_site_type_symbol
_atom_site_fract_x
_atom_site_fract_y
_atom_site_fract_z
Y1 Y 0.9172 0.5870 0.7506
Y2 Y 0.7526 0.7526 0.2495
Y3 Y 0.0828 0.4130 0.2494
Y4 Y 0.5870 0.9172 0.7506
Y5 Y 0.2474 0.2474 0.7505
Y6 Y 0.4130 0.0828 0.2494
Ho1 Ho 0.3334 0.6666 0.0000
Ho2 Ho 0.6666 0.3334 0.0000
Tm1 Tm 0.1673 0.8327 0.5000
Tm2 Tm 0.8327 0.1673 0.5000
Tm3 Tm 0.5000 0.5000 0.5000
Pu1 Pu 0.0000 0.0000 0.0000
```

***

5.
Here is an optimized crystal structure of Y6Ho3Tm2Pu from Alexandria. Energies are from PBE-GGA.

Properties
SG: No. 12

```
data_Y6Ho3Tm2Pu
_cell_length_a 6.1201
_cell_length_b 6.1201
_cell_length_c 11.6841
_cell_angle_alpha 95.01
_cell_angle_beta 95.01
_cell_angle_gamma 119.99
_symmetry_space_group_name_H-M 'P 1'
_symmetry_Int_Tables_number 1
_symmetry_space_group_name_Hall 'P 1'
loop_
_atom_site_label
_atom_site_type_symbol
_atom_site_fract_x
_atom_site_fract_y
_atom_site_fract_z
Y1 Y 0.9177 0.5875 0.7524
Y2 Y 0.7520 0.7520 0.2476
Y3 Y 0.0823 0.4125 0.2476
Y4 Y 0.5875 0.9177 0.7524
Y5 Y 0.2480 0.2480 0.7524
Y6 Y 0.4125 0.0823 0.2476
Ho1 Ho 0.1673 0.8327 0.5000
Ho2 Ho 0.8327 0.1673 0.5000
Ho3 Ho 0.5000 0.5000 0.5000
Tm1 Tm 0.3334 0.6666 0.0000
Tm2 Tm 0.6666 0.3334 0.0000
Pu1 Pu 0.0000 0.0000 0.0000
```

***

6.
Here is an optimized crystal structure of Ho2PuV from Alexandria. Energies are from PBE-GGA.

Properties
SG: No. 166

```
data_Ho2PuV
_cell_length_a 3.2846
_cell_length_b 3.2846
_cell_length_c 11.4652
_cell_angle_alpha 81.76
_cell_angle_beta 81.76
_cell_angle_gamma 60.00
_symmetry_space_group_name_H-M 'P 1'
_symmetry_Int_Tables_number 1
_symmetry_space_group_name_Hall 'P 1'
loop_
_atom_site_label
_atom_site_type_symbol
_atom_site_fract_x
_atom_site_fract_y
_atom_site_fract_z
V1 V 0.0000 0.0000 0.0000
Ho1 Ho 0.0832 0.0832 0.7504
Ho2 Ho 0.9168 0.9168 0.2496
Pu1 Pu 0.5000 0.5000 0.5000
```

***

7.
Here is an optimized crystal structure of HoPuV from Alexandria. Energies are from PBE-GGA.

Properties
SG: No. 74

```
data_HoPuV
_cell_length_a 5.6315
_cell_length_b 5.6315
_cell_length_c 5.6315
_cell_angle_alpha 87.76
_cell_angle_beta 59.95
_cell_angle_gamma 117.40
_symmetry_space_group_name_H-M 'P 1'
_symmetry_Int_Tables_number 1
_symmetry_space_group_name_Hall 'P 1'
loop_
_atom_site_label
_atom_site_type_symbol
_atom_site_fract_x
_atom_site_fract_y
_atom_site_fract_z
Ho1 Ho 0.7500 0.8683 0.3817
Ho2 Ho 0.2500 0.1317 0.6183
Pu1 Pu 0.5000 0.0000 0.0000
Pu2 Pu 0.0000 0.5000 0.0000
V1 V 0.0000 0.5000 0.5000
V2 V 0.5000 0.5000 0.0000
```

***

8.
Here is an optimized crystal structure of YHo2Pu from Alexandria. Energies are from PBE-GGA.

Properties
SG: No. 225

```
data_YHo2Pu
_cell_length_a 5.5734
_cell_length_b 5.5734
_cell_length_c 5.5734
_cell_angle_alpha 60.00
_cell_angle_beta 60.00
_cell_angle_gamma 60.00
_symmetry_space_group_name_H-M 'P 1'
_symmetry_Int_Tables_number 1
_symmetry_space_group_name_Hall 'P 1'
loop_
_atom_site_label
_atom_site_type_symbol
_atom_site_fract_x
_atom_site_fract_y
_atom_site_fract_z
Y1 Y 0.5000 0.5000 0.5000
Ho1 Ho 0.2500 0.2500 0.2500
Ho2 Ho 0.7500 0.7500 0.7500
Pu1 Pu 0.0000 0.0000 0.0000
```

***

Magnetization
In order: 5.8; 5.8; 6.6; 6.6; 6.6; 2.5; 9.7; 7.1
Unit: Bohr magnetons per cell
Formation energy
In order: 0.08; 0.02; 0.05; 0.05; 0.05; 0.64; 0.23; 0.19
Unit: eV/atom